Entry 1:
Material: La2Bi2I
Method: DFT, PBE-GGA
State: optimized geometry

a = 8.8343 Å, b = 8.8343 Å, c = 4.4920 Å
α = 90.00°, β = 90.00°, γ = 90.00°
Space group P4/mbm (No. 127)
Inequivalent atoms, fractional coordinates:
La: 0.1700 0.3300 0.0000 (multiplicity 4)
Bi: 0.1275 0.6275 0.5000 (multiplicity 4)
I: 0.0000 0.0000 0.0000 (multiplicity 2)

## Properties
ΔE to the lowest computed polymorph = 0.0 kJ per mole of atoms
ΔE_f (raw) = -1.00 eV/atom
total magnetization = 0.0 μB per cell
V = 350.6 Å³/cell



Entry 2:
Material: LiSmMg2Pd4
Method: DFT, PBE-GGA
State: optimized geometry

a = 4.5230 Å, b = 4.5230 Å, c = 24.0179 Å
α = 90.00°, β = 90.00°, γ = 120.00°
Space group R-3m (No. 166, hexagonal axes)
Inequivalent atoms, fractional coordinates:
Li: 0.0000 0.0000 0.0000 (multiplicity 3)
Sm: 0.0000 0.0000 0.5000 (multiplicity 3)
Mg: 0.0000 0.0000 0.2620 (multiplicity 6)
Pd: 0.0000 0.0000 0.1064 (multiplicity 6)
Pd: 0.0000 0.0000 0.3742 (multiplicity 6)

## Properties
final energy = -4.491 eV/atom
total magnetization = 0.0 μB per cell
V = 425.5 Å³/cell



Entry 3:
Material: Ba2CePbO5
Method: DFT, PBE-GGA
State: optimized geometry

a = 3.6697 Å, b = 17.0541 Å, c = 10.8454 Å
α = 90.00°, β = 90.00°, γ = 90.00°
Space group Cmc2_1 (No. 36)
Inequivalent atoms, fractional coordinates:
Ba: 0.0000 0.1215 0.0000 (multiplicity 4)
Ba: 0.0000 0.1254 0.5712 (multiplicity 4)
Ce: 0.0000 0.2284 0.2824 (multiplicity 4)
Pb: 0.0000 0.4830 0.7724 (multiplicity 4)
O: 0.0000 0.0978 0.2625 (multiplicity 4)
O: 0.0000 0.2777 0.6491 (multiplicity 4)
O: 0.0000 0.2827 0.9147 (multiplicity 4)
O: 0.0000 0.3549 0.2783 (multiplicity 4)
O: 0.0000 0.4970 0.5672 (multiplicity 4)

## Properties
ΔE_f (raw) = -2.48 eV/atom
total magnetization = 0.0 μB per cell
V = 678.8 Å³/cell